Material: V2CrMoO6
Method: DFT, PBE with a Hubbard U
State: relaxed Values from VASP.

```
&SYSTEM
  ibrav = 0, nat = 10, ntyp = 4
/
ATOMIC_SPECIES
V 50.94 V.upf
Cr 52.00 Cr.upf
Mo 95.94 Mo.upf
O 16.00 O.upf
CELL_PARAMETERS angstrom
2.615 1.510 4.710
-2.615 1.510 4.710
0.000 -3.020 4.710
ATOMIC_POSITIONS crystal
V 0.000 0.000 0.000
V 0.498 0.498 0.498
Cr 0.698 0.698 0.698
Mo 0.201 0.201 0.201
O 0.101 0.406 0.785
O 0.299 0.889 0.615
O 0.406 0.785 0.101
O 0.615 0.299 0.889
O 0.785 0.101 0.406
O 0.889 0.615 0.299
```

## Properties
E_tot: -0.576 Ry per atom